Zr2Be2Pb after structural relaxation. Source: Alexandria, functional GGA-PBE.

a = 3.807 Å, b = 3.664 Å, c = 6.512 Å
α = 106.34°, β = 90.00°, γ = 90.00°
Positions (direct):
Zr: 0.500 0.645 0.290
Zr: 0.500 0.355 0.710
Be: 0.000 0.207 0.414
Be: 0.000 0.793 0.586
Pb: 0.000 0.000 0.000

Space group ... Cmmm (65)
Density ... 7.77 g/cm³

Zr2Be2Pb after structural relaxation. Source: Alexandria, functional GGA-PBE.

a = 6.606 Å, b = 6.606 Å, c = 3.947 Å
α = 90.00°, β = 90.00°, γ = 90.00°
Positions (direct):
Pb: 0.000 0.000 0.000
Pb: 0.500 0.500 0.000
Be: 0.388 0.888 0.000
Be: 0.888 0.612 0.000
Be: 0.612 0.112 0.000
Be: 0.112 0.388 0.000
Zr: 0.169 0.669 0.500
Zr: 0.669 0.831 0.500
Zr: 0.831 0.331 0.500
Zr: 0.331 0.169 0.500

Space group ... P4/mbm (127)
Density ... 7.86 g/cm³

Zr2BePb after structural relaxation. Source: Alexandria, functional GGA-PBE.

a = 8.535 Å, b = 8.535 Å, c = 8.535 Å
α = 23.09°, β = 23.09°, γ = 23.09°
Positions (direct):
Pb: 0.250 0.250 0.250
Be: 0.750 0.750 0.750
Zr: 0.017 0.017 0.017
Zr: 0.483 0.483 0.483

Space group ... R-3m (166)
Density ... 7.89 g/cm³

Zr2BePb after structural relaxation. Source: Alexandria, functional GGA-PBE.

a = 4.897 Å, b = 4.897 Å, c = 4.897 Å
α = 60.00°, β = 60.00°, γ = 60.00°
Positions (direct):
Pb: 0.750 0.750 0.750
Be: 0.500 0.500 0.500
Zr: 0.000 0.000 0.000
Zr: 0.250 0.250 0.250

Space group ... F-43m (216)
Density ... 7.97 g/cm³

Zr2BePb after structural relaxation. Source: Alexandria, functional GGA-PBE.

a = 5.199 Å, b = 5.199 Å, c = 3.166 Å
α = 90.00°, β = 90.00°, γ = 108.16°
Positions (direct):
Pb: 0.000 0.500 0.500
Be: 0.500 0.000 0.500
Zr: 0.000 0.000 0.000
Zr: 0.500 0.500 0.000

Space group ... Cmmm (65)
Density ... 8.14 g/cm³

ZrBePb after structural relaxation. Source: Alexandria, functional GGA-PBE.

a = 3.236 Å, b = 3.236 Å, c = 6.992 Å
α = 90.00°, β = 90.00°, γ = 120.00°
Positions (direct):
Pb: 0.667 0.333 0.308
Be: 0.000 0.000 0.998
Zr: 0.333 0.667 0.693

Space group ... P3m1 (156)
Density ... 8.05 g/cm³

| no. | magnetization (μB/atom) | E (eV for the cell shown) |
| --- | --- | --- |
| 1 | 0.000 | -29.6 |
| 2 | 0.000 | -58.4 |
| 3 | 0.000 | -24.5 |
| 4 | 0.076 | -22.4 |
| 5 | 0.000 | -24.3 |
| 6 | 0.000 | -14.6 |